The following is a DFT calculation (PBE) of a relaxed structure of P2IrPb.

Density ... 8.6 Mg/m³
E_tot ... -5.754 eV/atom
Volume ... 89 Å³/f.u.
Space-group type ... Pm, No. 6

Lattice parameters (Å, degrees): 4.1736 4.2409 5.0297 90.00 93.95 90.00
Last column: nearest neighbours and their distance in Å.
Fractional coordinates of all 4 atoms:
1 P 0.0000 0.0000 0.0000  2 Ir 2.22-2.48
2 P 0.2975 0.5000 0.8076  2 Ir 2.31
3 Ir 0.5163 0.0000 0.7844  4 P 2.22-2.48
4 Pb 0.7861 0.5000 0.4090  4 P 2.83-3.13, 2 Ir 3.10